No. 1
Below is a geometry-optimized Cr2TcPt2 structure, with properties calculated at the PBE level.

Geometry as POSCAR:
```
Cr2TcPt2
1.0
-1.869 1.869 5.402
1.869 -1.869 5.402
1.869 1.869 -5.402
Cr Tc Pt
2 1 2
Cartesian
0.000 0.000 0.967
0.000 0.000 9.836
0.000 0.000 5.402
1.869 0.000 2.701
0.000 1.869 2.701
```

Results
SG = I4/mmm, No. 139
M_tot = 0.983 Bohr magnetons per cell
energy of formation from the pure elements = 0.318 eV per atom
total DFT energy (no corrections) = -40.1 eV for the cell shown
polymorph energy (0 for the lowest one) = 208 meV per atom

=====

No. 2
Below is a geometry-optimized MoAsW2Cl structure, with properties calculated at the PBE level.

Geometry as POSCAR:
```
MoAsW2Cl
1.0
4.872 0.000 0.000
0.000 4.872 0.000
0.000 0.000 4.488
Mo As W Cl
1 1 2 1
Cartesian
0.000 0.000 0.000
2.436 2.436 2.244
0.000 2.436 0.000
2.436 0.000 0.000
0.000 0.000 2.244
```

Results
formation energy (no corrections) = 1.7748 eV/atom
SG = P4/mmm, No. 123
M_tot = 0.000 Bohr magnetons per cell
total DFT energy (no corrections) = -34.4 eV for the cell shown

=====

No. 3
Below is a geometry-optimized OsRuF2 structure, with properties calculated at the PBE level.

Geometry as POSCAR:
```
OsRuF2
1.0
0.000 2.971 2.971
2.971 0.000 2.971
2.971 2.971 0.000
Os Ru F
1 1 2
Cartesian
0.000 0.000 0.000
2.971 2.971 2.971
1.485 1.485 1.485
4.456 4.456 4.456
```

Results
formation energy (no corrections) = 0.8150 eV/atom
SG = Fm-3m, No. 225
M_tot = 0.279 Bohr magnetons per cell
total DFT energy (no corrections) = -21.0 eV for the cell shown
polymorph energy (0 for the lowest one) = 1096 meV per atom

=====

No. 4
Below is a geometry-optimized MgRu2Br structure, with properties calculated at the PBE level.

Geometry as POSCAR:
```
MgRu2Br
1.0
-1.507 2.265 4.808
1.507 -2.265 4.808
1.507 2.265 -4.808
Mg Ru Br
1 2 1
Cartesian
0.000 0.000 0.000
1.507 0.000 2.701
0.000 0.000 4.906
0.000 2.265 2.212
```

Results
formation energy (no corrections) = 0.5236 eV/atom
SG = Imm2, No. 44
M_tot = 0.000 Bohr magnetons per cell
total DFT energy (no corrections) = -19.7 eV for the cell shown
polymorph energy (0 for the lowest one) = 408 meV per atom

=====

No. 5
Below is a geometry-optimized Pu2PdSe structure, with properties calculated at the PBE level.

Geometry as POSCAR:
```
Pu2PdSe
1.0
2.015 1.163 7.240
-2.015 1.163 7.240
0.000 -2.326 7.240
Pu Pd Se
2 1 1
Cartesian
0.000 0.000 5.399
0.000 0.000 16.322
0.000 0.000 10.861
0.000 0.000 0.000
```

Results
formation energy (no corrections) = -0.8074 eV/atom
SG = R-3m, No. 166
M_tot = 11.545 Bohr magnetons per cell
total DFT energy (no corrections) = -40.6 eV for the cell shown
polymorph energy (0 for the lowest one) = 13 meV per atom

=====

No. 6
Below is a geometry-optimized KCdHgCl6 structure, with properties calculated at the PBE level.

Geometry as POSCAR:
```
KCdHgCl6
1.0
3.423 -5.948 0.000
3.423 5.948 0.000
-0.014 0.000 6.916
K Cd Hg Cl
1 1 1 6
Cartesian
0.000 0.000 0.000
3.416 -1.975 3.458
3.416 1.984 3.458
1.294 2.238 1.920
2.128 3.702 5.002
2.569 0.009 5.000
4.704 3.702 1.914
4.262 0.009 1.916
5.537 2.238 4.996
```

Results
formation energy (no corrections) = -0.9150 eV/atom
SG = C2, No. 5
M_tot = 1.122 Bohr magnetons per cell
total DFT energy (no corrections) = -21.6 eV for the cell shown

=====

No. 7
Below is a geometry-optimized Li5IrRh2 structure, with properties calculated at the PBE level.

Geometry as POSCAR:
```
Li5IrRh2
1.0
5.366 0.000 0.000
0.000 10.858 0.000
0.000 0.000 3.773
Li Ir Rh
10 2 4
Cartesian
0.000 0.000 0.000
0.232 2.812 0.000
1.180 9.552 1.887
1.503 4.123 1.887
2.451 8.241 0.000
2.683 5.429 0.000
2.916 2.616 0.000
3.863 6.735 1.887
4.186 1.306 1.887
5.134 8.045 0.000
0.000 5.429 0.000
2.683 0.000 0.000
1.134 6.775 1.887
1.549 1.346 1.887
3.817 9.511 1.887
4.232 4.082 1.887
```

Results
SG = Pbam, No. 55
M_tot = 0.000 Bohr magnetons per cell
energy of formation from the pure elements = -0.057 eV per atom
total DFT energy (no corrections) = -67.2 eV for the cell shown

=====

No. 8
Below is a geometry-optimized Zn2FeMo structure, with properties calculated at the PBE level.

Geometry as POSCAR:
```
Zn2FeMo
1.0
3.760 0.000 0.000
0.000 3.760 0.000
0.000 0.000 3.960
Zn Fe Mo
2 1 1
Cartesian
0.000 1.880 0.000
1.880 0.000 0.000
0.000 0.000 1.980
1.880 1.880 1.980
```

Results
SG = P4/mmm, No. 123
M_tot = 2.835 Bohr magnetons per cell
energy of formation from the pure elements = 0.132 eV per atom
total DFT energy (no corrections) = -21.3 eV for the cell shown
polymorph energy (0 for the lowest one) = 75 meV per atom